Computed, not measured: a relaxed structure of NdSmNiIr at the PBE-GGA level of DFT.

The structure in CIF format:
```
data_NdSmNiIr
_chemical_formula_sum 'Nd1 Sm1 Ni1 Ir1'
_cell_length_a 3.9942
_cell_length_b 4.1513
_cell_length_c 5.7861
_cell_angle_alpha 90.00
_cell_angle_beta 110.19
_cell_angle_gamma 90.00
_space_group_name_H-M_alt 'P 1'
_space_group_IT_number 1
loop_
_space_group_symop_operation_xyz
'x,y,z'
loop_
_atom_site_label
_atom_site_type_symbol
_atom_site_fract_x
_atom_site_fract_y
_atom_site_fract_z
Ni1 Ni 0.5729 0.5000 0.1458
Ir1 Ir 0.4249 0.0000 0.8498
Nd1 Nd 0.1425 0.0000 0.2850
Sm1 Sm 0.8597 0.5000 0.7193
```

Properties
Energy of formation from the pure elements in eV/atom: -0.5337
Spin magnetization in μB/f.u.: 0.0

=====

Computed, not measured: a relaxed structure of Ag2SbPb at the PBE-GGA level of DFT.

The structure in CIF format:
```
data_Ag2SbPb
_chemical_formula_sum 'Ag2 Sb1 Pb1'
_cell_length_a 3.3205
_cell_length_b 3.3205
_cell_length_c 8.5336
_cell_angle_alpha 90.00
_cell_angle_beta 90.00
_cell_angle_gamma 90.01
_space_group_name_H-M_alt 'P 1'
_space_group_IT_number 1
loop_
_space_group_symop_operation_xyz
'x,y,z'
loop_
_atom_site_label
_atom_site_type_symbol
_atom_site_fract_x
_atom_site_fract_y
_atom_site_fract_z
Ag1 Ag 0.0000 0.0000 0.9879
Ag2 Ag 0.0000 0.0000 0.5121
Sb1 Sb 0.5000 0.5000 0.7500
Pb1 Pb 0.5000 0.5000 0.2500
```

Properties
E_form (uncorrected) in eV/atom: 0.13
Spin magnetization in μB/f.u.: 0.0